1.
{
  "formula": "SbMo2C",
  "functional": "PBE-GGA",
  "state": "relaxed",
  "e_form_raw_ev_per_atom": 1.21,
  "volume_a3_per_atom": 14.88,
  "polymorph_energy_mev_per_atom": 494,
  "energy_ev_per_cell": -30.18,
  "lattice_angstrom": [[-0.834, 0.620, 4.257], [-2.930, 3.013, 1.242], [-3.848, -1.249, 1.683]],
  "species": ["C", "Sb", "Mo", "Mo"],
  "fractional_positions": [[0.000, 0.000, 0.000], [0.500, 0.500, 0.500], [0.250, 0.250, 0.250], [0.750, 0.750, 0.750]]
}

=====

2.
{
  "formula": "CaNd2SnN4",
  "functional": "PBE-GGA",
  "state": "relaxed",
  "e_form_raw_ev_per_atom": -0.72,
  "volume_a3_per_atom": 17.17,
  "energy_ev_per_cell": -109.25,
  "lattice_angstrom": [[3.549, 0.000, 0.000], [-1.774, 6.157, 0.000], [0.000, 0.000, 12.571]],
  "species": ["Nd", "Nd", "Nd", "Nd", "N", "N", "N", "N", "N", "N", "N", "N", "Ca", "Ca", "Sn", "Sn"],
  "fractional_positions": [[0.370, 0.739, 0.970], [0.630, 0.261, 0.470], [0.370, 0.739, 0.530], [0.630, 0.261, 0.030], [0.000, 0.000, 0.500], [0.000, 0.000, 0.000], [0.258, 0.516, 0.124], [0.258, 0.516, 0.376], [0.742, 0.484, 0.624], [0.742, 0.484, 0.876], [0.550, 0.099, 0.250], [0.450, 0.901, 0.750], [0.118, 0.235, 0.750], [0.882, 0.765, 0.250], [0.850, 0.700, 0.750], [0.150, 0.300, 0.250]]
}

=====

3.
{
  "formula": "CeTeRu",
  "functional": "PBE-GGA",
  "state": "relaxed",
  "e_form_raw_ev_per_atom": -0.70,
  "volume_a3_per_atom": 22.84,
  "polymorph_energy_mev_per_atom": 15,
  "energy_ev_per_cell": -40.90,
  "lattice_angstrom": [[4.422, -0.213, -0.042], [0.213, 4.423, -0.044], [0.068, 0.065, 6.990]],
  "species": ["Ru", "Ru", "Te", "Te", "Ce", "Ce"],
  "fractional_positions": [[0.814, 0.366, 0.920], [0.314, 0.866, 0.920], [0.314, 0.367, 0.172], [0.813, 0.866, 0.668], [0.313, 0.366, 0.634], [0.814, 0.867, 0.205]]
}

=====

4.
{
  "formula": "Tb2Ga3Ni4Au",
  "functional": "PBE-GGA",
  "state": "relaxed",
  "volume_a3_per_atom": 16.87,
  "energy_ev_per_cell": -49.93,
  "e_form_ev_per_atom": -0.52,
  "lattice_angstrom": [[-3.955, 0.044, -0.903], [0.893, -0.437, -3.933], [-0.352, -10.192, 1.051]],
  "species": ["Ga", "Ga", "Ga", "Ni", "Ni", "Ni", "Ni", "Tb", "Tb", "Au"],
  "fractional_positions": [[0.000, 0.500, 0.122], [0.000, 0.000, 0.500], [0.500, 0.000, 0.878], [0.000, 0.500, 0.350], [0.500, 0.500, 0.000], [0.500, 0.000, 0.650], [0.000, 0.000, 0.000], [0.000, 0.500, 0.755], [0.500, 0.000, 0.245], [0.500, 0.500, 0.500]]
}

=====

5.
{
  "formula": "Tb3Nd2ErSb6",
  "functional": "PBE-GGA",
  "state": "relaxed",
  "e_form_raw_ev_per_atom": -1.15,
  "volume_a3_per_atom": 30.86,
  "energy_ev_per_cell": -66.50,
  "lattice_angstrom": [[-4.159, 0.366, 1.503], [-2.978, -4.217, -7.213], [3.707, -7.370, 5.503]],
  "species": ["Nd", "Nd", "Sb", "Sb", "Sb", "Sb", "Sb", "Sb", "Tb", "Tb", "Tb", "Er"],
  "fractional_positions": [[0.834, 0.668, 0.669], [0.166, 0.332, 0.331], [0.003, 0.754, 0.005], [0.665, 0.588, 0.330], [0.997, 0.246, 0.995], [0.335, 0.923, 0.670], [0.335, 0.412, 0.670], [0.665, 0.077, 0.330], [0.832, 0.166, 0.664], [0.168, 0.834, 0.336], [0.500, 0.500, 0.000], [0.500, 0.000, 0.000]]
}

=====

6.
{
  "formula": "Ba2PdF",
  "functional": "PBE-GGA",
  "state": "relaxed",
  "e_form_raw_ev_per_atom": -1.35,
  "volume_a3_per_atom": 28.00,
  "polymorph_energy_mev_per_atom": 206,
  "energy_ev_per_cell": -16.33,
  "lattice_angstrom": [[-2.405, 1.586, 4.580], [-3.797, -3.109, 2.278], [1.043, -2.583, 4.638]],
  "species": ["Pd", "Ba", "Ba", "F"],
  "fractional_positions": [[0.500, 0.500, 0.500], [0.750, 0.750, 0.750], [0.250, 0.250, 0.250], [0.000, 0.000, 0.000]]
}

=====

7.
{
  "formula": "CoIrPb2Br",
  "functional": "PBE-GGA",
  "state": "relaxed",
  "e_form_raw_ev_per_atom": 0.37,
  "volume_a3_per_atom": 27.42,
  "energy_ev_per_cell": -23.19,
  "lattice_angstrom": [[5.348, 0.000, 0.000], [0.000, 4.794, 0.000], [0.000, 0.000, 5.348]],
  "species": ["Ir", "Br", "Pb", "Pb", "Co"],
  "fractional_positions": [[0.000, 0.000, 0.000], [0.500, 0.500, 0.500], [0.500, 0.000, 0.000], [0.000, 0.000, 0.500], [0.000, 0.500, 0.000]]
}

=====

8.
{
  "formula": "SrBi5O9",
  "functional": "PBE-GGA",
  "state": "relaxed",
  "e_form_raw_ev_per_atom": -1.35,
  "volume_a3_per_atom": 18.47,
  "polymorph_energy_mev_per_atom": 9,
  "energy_ev_per_cell": -86.02,
  "lattice_angstrom": [[-3.929, -0.007, -0.021], [-0.032, -6.957, -0.714], [1.875, 2.370, 10.391]],
  "species": ["O", "O", "O", "O", "O", "O", "O", "O", "O", "Bi", "Bi", "Bi", "Bi", "Bi", "Sr"],
  "fractional_positions": [[0.589, 0.878, 0.114], [0.475, 0.124, 0.894], [0.225, 0.825, 0.338], [0.360, 0.718, 0.670], [0.827, 0.058, 0.602], [0.566, 0.320, 0.325], [0.949, 0.636, 0.895], [0.018, 0.406, 0.108], [0.392, 0.381, 0.743], [0.103, 0.497, 0.317], [0.526, 0.510, 0.978], [0.830, 0.517, 0.682], [0.368, 0.035, 0.683], [0.687, 0.990, 0.325], [0.036, 0.016, 0.009]]
}

=====

9.
{
  "formula": "CaGeC2",
  "functional": "PBE-GGA",
  "state": "relaxed",
  "volume_a3_per_atom": 15.92,
  "polymorph_energy_mev_per_atom": 0,
  "energy_ev_per_cell": -42.56,
  "e_form_ev_per_atom": 0.95,
  "lattice_angstrom": [[-1.028, -3.609, 2.883], [4.619, -0.763, 0.692], [1.720, 1.378, 6.221]],
  "species": ["C", "C", "C", "C", "Ca", "Ca", "Ge", "Ge"],
  "fractional_positions": [[0.875, 0.011, 0.750], [0.761, 0.125, 0.250], [0.989, 0.625, 0.250], [0.375, 0.239, 0.750], [0.250, 0.750, 0.500], [0.500, 0.500, 0.000], [0.000, 0.000, 0.000], [0.750, 0.250, 0.500]]
}

=====

10.
{
  "formula": "Sm5Ho4Mg2",
  "functional": "PBE-GGA",
  "state": "relaxed",
  "volume_a3_per_atom": 31.36,
  "polymorph_energy_mev_per_atom": 0,
  "energy_ev_per_cell": -44.49,
  "e_form_ev_per_atom": 0.06,
  "lattice_angstrom": [[-3.037, -0.769, -1.615], [-1.569, -6.260, 5.934], [-2.348, 13.532, 1.817]],
  "species": ["Ho", "Ho", "Ho", "Ho", "Mg", "Mg", "Sm", "Sm", "Sm", "Sm", "Sm"],
  "fractional_positions": [[0.711, 0.600, 0.421], [0.926, 0.572, 0.853], [0.289, 0.400, 0.579], [0.074, 0.428, 0.147], [0.446, 0.272, 0.892], [0.554, 0.728, 0.108], [0.867, 0.831, 0.734], [0.500, 0.000, 0.000], [0.817, 0.109, 0.634], [0.133, 0.169, 0.266], [0.183, 0.891, 0.366]]
}

=====

11.
{
  "formula": "RbMgPaO4",
  "functional": "PBE-GGA",
  "state": "relaxed",
  "e_form_raw_ev_per_atom": -2.77,
  "volume_a3_per_atom": 17.09,
  "energy_ev_per_cell": -102.62,
  "lattice_angstrom": [[6.749, 0.000, 0.000], [-3.374, 6.057, -0.568], [0.000, -3.775, 6.207]],
  "species": ["O", "O", "O", "O", "O", "O", "O", "O", "Mg", "Mg", "Rb", "Rb", "Pa", "Pa"],
  "fractional_positions": [[0.714, 0.427, 0.275], [0.286, 0.573, 0.725], [0.297, 0.986, 0.743], [0.689, 0.986, 0.743], [0.311, 0.014, 0.257], [0.714, 0.427, 0.653], [0.703, 0.014, 0.257], [0.286, 0.573, 0.347], [0.000, 0.500, 0.500], [0.500, 0.500, 0.500], [0.849, 0.698, 0.099], [0.151, 0.302, 0.901], [0.500, 0.000, 0.500], [0.500, 0.000, 0.000]]
}

=====

12.
{
  "formula": "La2Al2Cu",
  "functional": "PBE-GGA",
  "state": "relaxed",
  "volume_a3_per_atom": 24.24,
  "polymorph_energy_mev_per_atom": 0,
  "energy_ev_per_cell": -46.38,
  "e_form_ev_per_atom": -0.35,
  "lattice_angstrom": [[-4.298, -1.478, -1.282], [-0.013, -3.349, -4.794], [-0.792, -8.920, 4.242]],
  "species": ["Cu", "Cu", "Al", "Al", "Al", "Al", "La", "La", "La", "La"],
  "fractional_positions": [[0.637, 0.092, 0.635], [0.363, 0.908, 0.365], [0.905, 0.744, 0.446], [0.095, 0.256, 0.554], [0.380, 0.117, 0.122], [0.620, 0.883, 0.878], [0.913, 0.277, 0.898], [0.326, 0.671, 0.677], [0.087, 0.723, 0.102], [0.674, 0.329, 0.323]]
}

=====

13.
{
  "formula": "Ho6Tl6Pb",
  "functional": "PBE-GGA",
  "state": "relaxed",
  "volume_a3_per_atom": 28.98,
  "energy_ev_per_cell": -47.76,
  "e_form_ev_per_atom": -0.18,
  "lattice_angstrom": [[6.505, -0.001, 0.000], [-3.253, 5.634, 0.000], [0.000, 0.000, 10.283]],
  "species": ["Ho", "Ho", "Ho", "Ho", "Ho", "Ho", "Pb", "Tl", "Tl", "Tl", "Tl", "Tl", "Tl"],
  "fractional_positions": [[0.000, 0.000, 0.685], [0.667, 0.333, 0.500], [0.333, 0.667, 0.500], [0.000, 0.000, 0.315], [0.333, 0.667, 0.000], [0.667, 0.333, 0.000], [0.000, 0.000, 0.000], [0.500, 0.000, 0.250], [0.500, 0.500, 0.250], [0.000, 0.500, 0.750], [0.500, 0.000, 0.750], [0.500, 0.500, 0.750], [0.000, 0.500, 0.250]]
}

=====

14.
{
  "formula": "Li3SbP2O8",
  "functional": "PBE-GGA",
  "state": "relaxed",
  "e_form_raw_ev_per_atom": -2.10,
  "volume_a3_per_atom": 11.66,
  "polymorph_energy_mev_per_atom": 33,
  "energy_ev_per_cell": -269.10,
  "lattice_angstrom": [[8.356, 0.006, 0.005], [3.005, 7.797, 0.005], [3.005, 2.064, 7.519]],
  "species": ["O", "O", "O", "O", "O", "O", "O", "O", "O", "O", "O", "O", "O", "O", "O", "O", "O", "O", "O", "O", "O", "O", "O", "O", "Li", "Li", "Li", "Li", "Li", "Li", "Li", "Li", "Li", "P", "P", "P", "P", "P", "P", "Sb", "Sb", "Sb"],
  "fractional_positions": [[0.897, 0.768, 0.096], [0.590, 0.402, 0.740], [0.740, 0.590, 0.402], [0.163, 0.919, 0.434], [0.768, 0.096, 0.897], [0.070, 0.551, 0.303], [0.388, 0.598, 0.266], [0.899, 0.098, 0.231], [0.551, 0.303, 0.070], [0.303, 0.070, 0.551], [0.598, 0.266, 0.388], [0.266, 0.388, 0.598], [0.098, 0.231, 0.899], [0.402, 0.740, 0.590], [0.111, 0.556, 0.827], [0.827, 0.111, 0.556], [0.479, 0.698, 0.920], [0.434, 0.163, 0.919], [0.920, 0.479, 0.698], [0.231, 0.899, 0.098], [0.556, 0.827, 0.111], [0.096, 0.897, 0.768], [0.919, 0.434, 0.163], [0.698, 0.920, 0.479], [0.662, 0.662, 0.662], [0.355, 0.123, 0.742], [0.834, 0.342, 0.597], [0.742, 0.355, 0.123], [0.508, 0.508, 0.508], [0.998, 0.998, 0.998], [0.342, 0.597, 0.834], [0.123, 0.742, 0.355], [0.597, 0.834, 0.342], [0.424, 0.755, 0.090], [0.090, 0.424, 0.755], [0.755, 0.090, 0.424], [0.581, 0.242, 0.906], [0.906, 0.581, 0.242], [0.242, 0.906, 0.581], [0.847, 0.847, 0.847], [0.153, 0.153, 0.153], [0.339, 0.339, 0.339]]
}

=====

15.
{
  "formula": "Rb3Sm3ErSe8",
  "functional": "PBE-GGA",
  "state": "relaxed",
  "e_form_raw_ev_per_atom": -1.66,
  "volume_a3_per_atom": 34.06,
  "energy_ev_per_cell": -74.43,
  "lattice_angstrom": [[8.485, 0.000, 0.000], [-4.242, 7.349, -0.029], [0.000, -4.866, 8.213]],
  "species": ["Rb", "Rb", "Rb", "Er", "Sm", "Sm", "Sm", "Se", "Se", "Se", "Se", "Se", "Se", "Se", "Se"],
  "fractional_positions": [[0.000, 0.500, 0.000], [0.000, 0.000, 0.000], [0.500, 0.500, 0.000], [0.000, 0.000, 0.500], [0.500, 0.000, 0.500], [0.500, 0.500, 0.500], [0.000, 0.500, 0.500], [0.738, 0.967, 0.693], [0.772, 0.033, 0.307], [0.228, 0.455, 0.694], [0.734, 0.467, 0.700], [0.266, 0.533, 0.300], [0.228, 0.967, 0.693], [0.772, 0.545, 0.306], [0.262, 0.033, 0.307]]
}

=====

16.
{
  "formula": "NaLaSb2Se",
  "functional": "PBE-GGA",
  "state": "relaxed",
  "e_form_raw_ev_per_atom": -0.23,
  "volume_a3_per_atom": 35.51,
  "energy_ev_per_cell": -19.12,
  "lattice_angstrom": [[-3.284, 3.617, -2.914], [-4.353, -3.209, 0.922], [-1.097, 2.864, 4.791]],
  "species": ["Sb", "Sb", "Se", "La", "Na"],
  "fractional_positions": [[0.000, 0.000, 0.500], [0.500, 0.000, 0.000], [0.000, 0.000, 0.000], [0.000, 0.500, 0.000], [0.500, 0.500, 0.500]]
}

=====

17.
{
  "formula": "Cd4RuSe",
  "functional": "PBE-GGA",
  "state": "relaxed",
  "e_form_raw_ev_per_atom": 0.50,
  "volume_a3_per_atom": 20.62,
  "energy_ev_per_cell": -13.43,
  "lattice_angstrom": [[0.000, 3.955, 3.955], [3.955, 0.000, 3.955], [3.955, 3.955, 0.000]],
  "species": ["Cd", "Cd", "Cd", "Cd", "Ru", "Se"],
  "fractional_positions": [[0.874, 0.375, 0.375], [0.375, 0.874, 0.375], [0.375, 0.375, 0.874], [0.375, 0.375, 0.375], [0.750, 0.750, 0.750], [0.000, 0.000, 0.000]]
}

=====

18.
{
  "formula": "PaTaBe2",
  "functional": "PBE-GGA",
  "state": "relaxed",
  "volume_a3_per_atom": 15.27,
  "polymorph_energy_mev_per_atom": 0,
  "energy_ev_per_cell": -28.47,
  "e_form_ev_per_atom": 0.08,
  "lattice_angstrom": [[-0.347, 2.652, 1.087], [-1.886, -1.036, 1.925], [5.477, -1.215, 4.713]],
  "species": ["Pa", "Be", "Be", "Ta"],
  "fractional_positions": [[0.500, 0.500, 0.500], [0.000, 0.000, 0.777], [0.000, 0.000, 0.223], [0.500, 0.500, 0.000]]
}

=====

19.
{
  "formula": "IrRuAu",
  "functional": "PBE-GGA",
  "state": "relaxed",
  "volume_a3_per_atom": 18.36,
  "polymorph_energy_mev_per_atom": 555,
  "energy_ev_per_cell": -19.17,
  "e_form_ev_per_atom": 0.75,
  "lattice_angstrom": [[4.271, 0.000, 0.000], [2.136, 3.699, 0.000], [2.136, 1.233, 3.487]],
  "species": ["Ir", "Au", "Ru"],
  "fractional_positions": [[0.750, 0.750, 0.750], [0.500, 0.500, 0.500], [0.000, 0.000, 0.000]]
}

=====

20.
{
  "formula": "YZrCo2",
  "functional": "PBE-GGA",
  "state": "relaxed",
  "volume_a3_per_atom": 17.61,
  "energy_ev_per_cell": -29.06,
  "e_form_ev_per_atom": 0.04,
  "lattice_angstrom": [[5.619, 0.022, -0.026], [3.046, 4.722, 0.026], [-4.168, -2.672, 2.658]],
  "species": ["Co", "Co", "Zr", "Y"],
  "fractional_positions": [[0.016, 0.016, 0.000], [0.749, 0.249, 0.500], [0.238, 0.738, 0.500], [0.497, 0.497, 0.000]]
}

=====

21.
{
  "formula": "SiSb2Se4",
  "functional": "PBE-GGA",
  "state": "relaxed",
  "e_form_raw_ev_per_atom": -0.18,
  "volume_a3_per_atom": 32.31,
  "energy_ev_per_cell": -57.77,
  "lattice_angstrom": [[7.623, 0.000, 0.028], [0.000, 6.796, 0.000], [-2.791, 0.000, 8.721]],
  "species": ["Sb", "Sb", "Sb", "Sb", "Se", "Se", "Se", "Se", "Se", "Se", "Se", "Se", "Si", "Si"],
  "fractional_positions": [[0.851, 0.750, 0.024], [0.295, 0.250, 0.324], [0.705, 0.750, 0.676], [0.149, 0.250, 0.976], [0.885, 0.250, 0.651], [0.169, 0.750, 0.969], [0.457, 0.502, 0.712], [0.543, 0.002, 0.288], [0.457, 0.998, 0.712], [0.543, 0.498, 0.288], [0.115, 0.750, 0.349], [0.831, 0.250, 0.031], [0.664, 0.250, 0.765], [0.336, 0.750, 0.235]]
}

=====

22.
{
  "formula": "ZrIr2Se",
  "functional": "PBE-GGA",
  "state": "relaxed",
  "e_form_raw_ev_per_atom": -0.08,
  "volume_a3_per_atom": 16.78,
  "energy_ev_per_cell": -30.07,
  "lattice_angstrom": [[3.076, 0.000, 0.000], [0.000, 3.076, 0.000], [0.000, 0.000, 7.095]],
  "species": ["Ir", "Ir", "Zr", "Se"],
  "fractional_positions": [[0.000, 0.000, 0.004], [0.500, 0.500, 0.261], [0.500, 0.500, 0.749], [0.000, 0.000, 0.486]]
}